1.
# Sm3Cd2Sn4 GGA-PBE relaxed
# - Magnetic moment: 0.00 μB per atom
# - Formation energy: -472 kJ/mol of formula units
data_Sm3Cd2Sn4
_cell_length_a 4.6466
_cell_length_b 7.0604
_cell_length_c 8.5277
_cell_angle_alpha 111.49
_cell_angle_beta 105.79
_cell_angle_gamma 90.03
_space_group_name_H-M_alt 'P -1'
_space_group_IT_number 2
loop_
_space_group_symop_operation_xyz
'x,y,z'
'-x,-y,-z'
loop_
_atom_site_label
_atom_site_fract_x
_atom_site_fract_y
_atom_site_fract_z
_atom_site_occupancy
Sm1 0.0000 0.0000 0.0000 1
Sm2 0.1293 0.6211 0.2589 1
Cd1 0.3326 0.0033 0.6659 1
Sn1 0.2172 0.2677 0.4333 1
Sn2 0.4854 0.6897 0.9704 1

---

2.
# Sm5Cd2Sn5 GGA-PBE relaxed
# - Magnetic moment: 0.00 μB per atom
# - Formation energy: -563 kJ/mol of formula units
data_Sm5Cd2Sn5
_cell_length_a 14.2114
_cell_length_b 4.5755
_cell_length_c 12.6395
_cell_angle_alpha 90.00
_cell_angle_beta 122.46
_cell_angle_gamma 90.00
_space_group_name_H-M_alt 'C 1 2/m 1'
_space_group_IT_number 12
loop_
_space_group_symop_operation_xyz
'x,y,z'
'-x,-y,-z'
'-x,y,-z'
'x,-y,z'
'x+1/2,y+1/2,z'
'-x+1/2,-y+1/2,-z'
'-x+1/2,y+1/2,-z'
'x+1/2,-y+1/2,z'
loop_
_atom_site_label
_atom_site_fract_x
_atom_site_fract_y
_atom_site_fract_z
_atom_site_occupancy
Sm1 0.0000 0.0000 0.0000 1
Sm2 0.1501 0.0000 0.4922 1
Sm3 0.1520 0.0000 0.7907 1
Cd1 0.0846 0.5000 0.2759 1
Sn1 0.0000 0.5000 0.5000 1
Sn2 0.1274 0.5000 0.9502 1
Sn3 0.2282 0.0000 0.2891 1

---

3.
# SmCd2Sn GGA-PBE relaxed
# - Magnetic moment: 0.00 μB per atom
# - Formation energy: -76 kJ/mol of formula units
# - ΔE to the lowest computed polymorph: 253 meV per atom
data_SmCd2Sn
_cell_length_a 7.4429
_cell_length_b 7.4429
_cell_length_c 7.4429
_cell_angle_alpha 90.00
_cell_angle_beta 90.00
_cell_angle_gamma 90.00
_space_group_name_H-M_alt 'F m -3 m'
_space_group_IT_number 225
_space_group_name_Hall '-F 4 2 3'
loop_
_atom_site_label
_atom_site_fract_x
_atom_site_fract_y
_atom_site_fract_z
_atom_site_occupancy
Sm1 0.0000 0.0000 0.0000 1
Cd1 0.2500 0.2500 0.2500 1
Sn1 0.0000 0.0000 0.5000 1

---

4.
# SmCdSn3 GGA-PBE relaxed
# - Magnetic moment: 0.00 μB per atom
# - Formation energy: -168 kJ/mol of formula units
data_SmCdSn3
_cell_length_a 13.1923
_cell_length_b 6.3203
_cell_length_c 6.3484
_cell_angle_alpha 90.00
_cell_angle_beta 90.00
_cell_angle_gamma 90.00
_space_group_name_H-M_alt 'P b c m'
_space_group_IT_number 57
loop_
_space_group_symop_operation_xyz
'x,y,z'
'-x,-y,-z'
'-x,-y,z+1/2'
'x,y,-z+1/2'
'x,-y+1/2,-z'
'-x,y+1/2,z'
'-x,y+1/2,-z+1/2'
'x,-y+1/2,z+1/2'
loop_
_atom_site_label
_atom_site_fract_x
_atom_site_fract_y
_atom_site_fract_z
_atom_site_occupancy
Sm1 0.1893 0.0064 0.2500 1
Cd1 0.3845 0.2500 0.0000 1
Sn1 0.0000 0.2500 0.0000 1
Sn2 0.2267 0.5116 0.2500 1
Sn3 0.4194 0.6972 0.7500 1

---

5.
# Sm5Cd4Sn GGA-PBE relaxed
# - Magnetic moment: 0.05 μB per atom
# - Formation energy: -376 kJ/mol of formula units
data_Sm5Cd4Sn
_cell_length_a 3.7981
_cell_length_b 3.7981
_cell_length_c 19.2914
_cell_angle_alpha 90.00
_cell_angle_beta 90.00
_cell_angle_gamma 90.00
_space_group_name_H-M_alt 'P 4/m m m'
_space_group_IT_number 123
_space_group_name_Hall '-P 4 2'
loop_
_atom_site_label
_atom_site_fract_x
_atom_site_fract_y
_atom_site_fract_z
_atom_site_occupancy
Sm1 0.0000 0.0000 0.0000 1
Sm2 0.0000 0.0000 0.1993 1
Sm3 0.0000 0.0000 0.3984 1
Cd1 0.5000 0.5000 0.1003 1
Cd2 0.5000 0.5000 0.2958 1
Sn1 0.5000 0.5000 0.5000 1

---

6.
# Sm2CdSn GGA-PBE relaxed
# - Magnetic moment: 0.04 μB per atom
# - Formation energy: -195 kJ/mol of formula units
data_Sm2CdSn
_cell_length_a 6.3483
_cell_length_b 4.5946
_cell_length_c 8.5564
_cell_angle_alpha 90.00
_cell_angle_beta 110.32
_cell_angle_gamma 90.00
_space_group_name_H-M_alt 'P 1 21/m 1'
_space_group_IT_number 11
loop_
_space_group_symop_operation_xyz
'x,y,z'
'-x,-y,-z'
'-x,y+1/2,-z'
'x,-y+1/2,z'
loop_
_atom_site_label
_atom_site_fract_x
_atom_site_fract_y
_atom_site_fract_z
_atom_site_occupancy
Sm1 0.2073 0.2500 0.4250 1
Sm2 0.2122 0.2500 0.9287 1
Cd1 0.3359 0.7500 0.2084 1
Sn1 0.3367 0.7500 0.7087 1

---

| no. | D(E_F) (states/eV per cell) | total energy (eV for the cell shown) | mass density (g/cm³) |
| --- | --- | --- | --- |
| 1 | 2.80 | -36.9 | 7.7 |
| 2 | 15.99 | -102.5 | 7.5 |
| 3 | 12.85 | -45.4 | 8.0 |
| 4 | 6.11 | -77.5 | 7.8 |
| 5 | 10.75 | -35.2 | 7.9 |
| 6 | 10.88 | -32.8 | 7.5 |